# 1
## NbH2Pb2O6 (GGA-PBE)

Data for crystalline NbH2Pb2O6 at its relaxed geometry.

Lattice parameters (Å, degrees): 6.1239 6.1239 6.1239 50.98 50.98 50.98
Closest atoms and distances in Å follow each position.
Atoms (fractional coordinates):
Nb  0.0000  0.0000  0.0000  6 O 2.02
H  0.4127  0.4127  0.4127  3 O 1.44
H  0.5873  0.5873  0.5873  3 O 1.44
Pb  0.2220  0.2220  0.2220  9 O 2.69-2.81
Pb  0.7780  0.7780  0.7780  9 O 2.69-2.81
O  0.2527  0.2527  0.7259  1 H 1.44
O  0.2527  0.7259  0.2527  1 H 1.44
O  0.2741  0.7473  0.7473  1 H 1.44
O  0.7259  0.2527  0.2527  1 H 1.44
O  0.7473  0.2741  0.7473  1 H 1.44
O  0.7473  0.7473  0.2741  1 H 1.44

Properties
E = -6.04 eV/atom

# 2
## Pm2NbHO6 (GGA-PBE)

Data for crystalline Pm2NbHO6 at its relaxed geometry.

Lattice parameters (Å, degrees): 5.5920 4.0937 11.3736 90.00 116.20 90.00
Closest atoms and distances in Å follow each position.
Atoms (fractional coordinates):
Pm  0.1880  0.1590  0.1863  5 O 2.29-2.42, 1 H 2.36
Pm  0.1880  0.3410  0.6863  5 O 2.29-2.42, 1 H 2.36
Pm  0.8120  0.6590  0.3137  5 O 2.29-2.42, 1 H 2.36
Pm  0.8120  0.8410  0.8137  5 O 2.29-2.42, 1 H 2.36
Nb  0.5000  0.0000  0.0000  4 O 1.98-2.03
Nb  0.5000  0.5000  0.5000  4 O 1.98-2.03
H  0.0000  0.0000  0.5000  2 O 1.32
H  0.0000  0.5000  0.0000  2 O 1.32
O  0.1351  0.2270  0.4725  1 H 1.32
O  0.1351  0.2730  0.9725  1 H 1.32
O  0.2336  0.7000  0.3291  1 Nb 2.03
O  0.2336  0.8000  0.8291  1 Nb 2.03
O  0.4186  0.7427  0.1249  1 Nb 1.98
O  0.4186  0.7573  0.6249  1 Nb 1.98
O  0.5814  0.2427  0.3751  1 Nb 1.98
O  0.5814  0.2573  0.8751  1 Nb 1.98
O  0.7664  0.2000  0.1709  1 Nb 2.03
O  0.7664  0.3000  0.6709  1 Nb 2.03
O  0.8649  0.7270  0.0275  1 H 1.32
O  0.8649  0.7730  0.5275  1 H 1.32

Properties
E = -7.84 eV/atom

# 3
## RbNb2HO6 (GGA-PBE)

Data for crystalline RbNb2HO6 at its relaxed geometry.

Lattice parameters (Å, degrees): 8.4916 8.4916 7.5991 93.95 93.95 120.94
Closest atoms and distances in Å follow each position.
Atoms (fractional coordinates):
Rb  0.2171  0.7829  0.7500  1 H 2.77, 4 O 2.89-2.92
Rb  0.7829  0.2171  0.2500  1 H 2.77, 4 O 2.89-2.92
Nb  0.3042  0.3600  0.8535  2 O 1.77-1.86
Nb  0.3600  0.3042  0.3535  2 O 1.77-1.86
Nb  0.6400  0.6958  0.6465  2 O 1.77-1.86
Nb  0.6958  0.6400  0.1465  2 O 1.77-1.86
H  0.0297  0.9703  0.7500  2 O 1.20
H  0.9703  0.0297  0.2500  2 O 1.20
O  0.1041  0.1778  0.3066  1 H 1.20
O  0.1441  0.4350  0.8594  1 Nb 1.77
O  0.1778  0.1041  0.8066  1 H 1.20
O  0.3915  0.4155  0.6089  3 Nb 2.04-2.20
O  0.4155  0.3915  0.1089  3 Nb 2.04-2.20
O  0.4350  0.1441  0.3594  1 Nb 1.77
O  0.5650  0.8559  0.6406  1 Nb 1.77
O  0.5845  0.6085  0.8911  3 Nb 2.04-2.20
O  0.6085  0.5845  0.3911  3 Nb 2.04-2.20
O  0.8222  0.8959  0.1934  1 H 1.20
O  0.8559  0.5650  0.1406  1 Nb 1.77
O  0.8959  0.8222  0.6934  1 H 1.20

Properties
E = -7.61 eV/atom

# 4
## NbH2RuO (GGA-PBE)

Data for crystalline NbH2RuO at its relaxed geometry.

Lattice parameters (Å, degrees): 3.2592 3.2592 4.3247 90.00 90.00 90.00
Closest atoms and distances in Å follow each position.
Atoms (fractional coordinates):
Nb  0.0000  0.0000  0.0000  4 O 2.30
H  0.0000  0.5000  0.5000  2 Ru 1.63
H  0.5000  0.0000  0.5000  2 Ru 1.63
Ru  0.5000  0.5000  0.5000  4 H 1.63
O  0.5000  0.5000  0.0000  2 Ru 2.16, 4 Nb 2.30

Properties
E = -6.36 eV/atom

# 5
## NbH2SeO (GGA-PBE)

Data for crystalline NbH2SeO at its relaxed geometry.

Lattice parameters (Å, degrees): 3.2057 3.2057 7.3835 90.00 90.00 90.00
Closest atoms and distances in Å follow each position.
Atoms (fractional coordinates):
Nb  0.0000  0.0000  0.0000  4 O 2.27
H  0.0000  0.5000  0.5000  2 Se 1.60
H  0.5000  0.0000  0.5000  2 Se 1.60
Se  0.5000  0.5000  0.5000  4 H 1.60
O  0.5000  0.5000  0.0000  4 Nb 2.27

Properties
E = -4.99 eV/atom

# 6
## NbTeHO2 (GGA-PBE)

Data for crystalline NbTeHO2 at its relaxed geometry.

Lattice parameters (Å, degrees): 4.3696 4.3696 3.5034 90.00 90.00 90.00
Closest atoms and distances in Å follow each position.
Atoms (fractional coordinates):
Nb  0.0000  0.0000  0.0000  8 O 2.80, 4 H 3.09
Te  0.5000  0.5000  0.5000  2 H 1.75
H  0.5000  0.5000  0.0000  2 Te 1.75
O  0.0000  0.5000  0.5000  2 Te 2.18
O  0.5000  0.0000  0.5000  2 Te 2.18

Properties
E = -4.92 eV/atom

# 7
## TiNbHO5 (GGA-PBE)

Data for crystalline TiNbHO5 at its relaxed geometry.

Lattice parameters (Å, degrees): 6.6252 3.8144 16.8516 90.00 90.00 90.00
Closest atoms and distances in Å follow each position.
Atoms (fractional coordinates):
Ti  0.1777  0.2500  0.0357  4 O 1.77-1.98
Ti  0.3223  0.7500  0.5357  4 O 1.77-1.98
Ti  0.6777  0.2500  0.4643  4 O 1.77-1.98
Ti  0.8223  0.7500  0.9643  4 O 1.77-1.98
Nb  0.2033  0.2500  0.3786  1 O 1.76
Nb  0.2967  0.7500  0.8786  1 O 1.76
Nb  0.7033  0.2500  0.1214  1 O 1.76
Nb  0.7967  0.7500  0.6214  1 O 1.76
H  0.0848  0.2500  0.1892  1 O 1.03
H  0.4152  0.7500  0.6892  1 O 1.03
H  0.5848  0.2500  0.3108  1 O 1.03
H  0.9152  0.7500  0.8108  1 O 1.03
O  0.0221  0.2500  0.1336  1 H 1.03
O  0.0794  0.7500  0.5799  1 Ti 1.77
O  0.1394  0.7500  0.0088  2 Ti 1.98
O  0.1607  0.2500  0.2753  1 H 1.53
O  0.2291  0.7500  0.4154  2 Nb 2.01, 1 Ti 2.12
O  0.2709  0.2500  0.9154  2 Nb 2.01, 1 Ti 2.12
O  0.3393  0.7500  0.7753  1 H 1.53
O  0.3606  0.2500  0.5088  2 Ti 1.98
O  0.4206  0.2500  0.0799  1 Ti 1.77
O  0.4779  0.7500  0.6336  1 H 1.03
O  0.5221  0.2500  0.3664  1 H 1.03
O  0.5794  0.7500  0.9201  1 Ti 1.77
O  0.6394  0.7500  0.4912  2 Ti 1.98
O  0.6607  0.2500  0.2247  1 H 1.53
O  0.7291  0.7500  0.0846  2 Nb 2.01, 1 Ti 2.12
O  0.7709  0.2500  0.5846  2 Nb 2.01, 1 Ti 2.12
O  0.8393  0.7500  0.7247  1 H 1.53
O  0.8606  0.2500  0.9912  2 Ti 1.98
O  0.9206  0.2500  0.4201  1 Ti 1.77
O  0.9779  0.7500  0.8664  1 H 1.03

Properties
E = -8.20 eV/atom

# 8
## NbTl2HO4 (GGA-PBE)

Data for crystalline NbTl2HO4 at its relaxed geometry.

Lattice parameters (Å, degrees): 5.8975 3.1192 6.8581 90.00 112.00 90.00
Closest atoms and distances in Å follow each position.
Atoms (fractional coordinates):
Nb  0.0000  0.0000  0.0000  6 O 2.00-2.06
Tl  0.0000  0.5000  0.5000  6 O 2.65-2.93
Tl  0.5000  0.0000  0.5000  4 O 2.74
H  0.5000  0.5000  0.0000  4 O 2.05
O  0.1736  0.5000  0.1946  2 Nb 2.06
O  0.2618  0.0000  0.8802  1 Nb 2.00, 2 H 2.05
O  0.7382  0.0000  0.1198  1 Nb 2.00, 2 H 2.05
O  0.8264  0.5000  0.8054  2 Nb 2.06

Properties
E = -5.69 eV/atom

Q: Among the records above, which one has the highest E?
A: NbTeHO2

Please write out number 5 again, unchanged.
## NbH2SeO (GGA-PBE)

Data for crystalline NbH2SeO at its relaxed geometry.

Lattice parameters (Å, degrees): 3.2057 3.2057 7.3835 90.00 90.00 90.00
Closest atoms and distances in Å follow each position.
Atoms (fractional coordinates):
Nb  0.0000  0.0000  0.0000  4 O 2.27
H  0.0000  0.5000  0.5000  2 Se 1.60
H  0.5000  0.0000  0.5000  2 Se 1.60
Se  0.5000  0.5000  0.5000  4 H 1.60
O  0.5000  0.5000  0.0000  4 Nb 2.27

Properties
E = -4.99 eV/atom